Version a
First-principles (GGA-PBEsol) data for a relaxed BeCdS2 crystal, as listed in Alexandria via LeMat-Bulk.

Values from the calculation:
- density of states at the Fermi level (states/eV per atom) = 0.00
- ρ (g/cm³) = 3.4
- crystal system = trigonal

Unit cell a=6.822 b=6.822 c=6.822 alpha=34.50 beta=34.50 gamma=34.50
Atoms (fractional coordinates):
Be (0.000, 0.000, 0.000)
Cd (0.500, 0.500, 0.500)
S (0.098, 0.098, 0.098)
S (0.902, 0.902, 0.902)



Version b
First-principles (GGA-PBEsol) data for a relaxed BeCdS2 crystal, as listed in Alexandria via LeMat-Bulk.

Values from the calculation:
- density of states at the Fermi level (states/eV per atom) = 0.00
- ρ (g/cm³) = 4.1
- crystal system = tetragonal

Unit cell a=6.351 b=6.351 c=6.351 alpha=129.50 beta=129.50 gamma=74.21
Atoms (fractional coordinates):
Be (0.000, 0.000, 0.000)
Be (0.750, 0.250, 0.500)
Cd (0.250, 0.750, 0.500)
Cd (0.500, 0.500, 0.000)
S (0.061, 0.625, 0.936)
S (0.375, 0.311, 0.436)
S (0.689, 0.125, 0.064)
S (0.875, 0.939, 0.564)



The structure with the least stability is version a.



Version a
First-principles (GGA-PBEsol) data for a relaxed ScBe2Cd crystal, as listed in Alexandria via LeMat-Bulk.

Values from the calculation:
- density of states at the Fermi level (states/eV per atom) = 0.45
- ρ (g/cm³) = 4.6
- crystal system = orthorhombic

Unit cell a=3.044 b=4.096 c=5.108 alpha=90.00 beta=90.00 gamma=90.00
Atoms (fractional coordinates):
Sc (0.000, 0.000, 0.000)
Be (0.500, 0.500, 0.216)
Be (0.500, 0.500, 0.784)
Cd (0.500, 0.000, 0.500)



Version b
First-principles (GGA-PBEsol) data for a relaxed ScBe2Cd crystal, as listed in Alexandria via LeMat-Bulk.

Values from the calculation:
- density of states at the Fermi level (states/eV per atom) = 0.56
- ρ (g/cm³) = 5.0
- crystal system = tetragonal

Unit cell a=2.888 b=2.888 c=6.930 alpha=90.00 beta=90.00 gamma=90.00
Atoms (fractional coordinates):
Sc (0.000, 0.000, 0.000)
Be (0.000, 0.000, 0.403)
Be (0.500, 0.500, 0.260)
Cd (0.500, 0.500, 0.661)



The structure with the least stability is version a.



Version a
First-principles (GGA-PBEsol) data for a relaxed BeCdSe2 crystal, as listed in Alexandria via LeMat-Bulk.

Values from the calculation:
- density of states at the Fermi level (states/eV per atom) = 0.00
- ρ (g/cm³) = 5.4
- crystal system = tetragonal

Unit cell a=6.707 b=6.707 c=6.707 alpha=129.90 beta=129.90 gamma=73.57
Atoms (fractional coordinates):
Be (0.000, 0.000, 0.000)
Be (0.750, 0.250, 0.500)
Cd (0.250, 0.750, 0.500)
Cd (0.500, 0.500, 0.000)
Se (0.066, 0.625, 0.941)
Se (0.375, 0.316, 0.441)
Se (0.684, 0.125, 0.059)
Se (0.875, 0.934, 0.559)



Version b
First-principles (GGA-PBEsol) data for a relaxed BeCdSe2 crystal, as listed in Alexandria via LeMat-Bulk.

Values from the calculation:
- density of states at the Fermi level (states/eV per atom) = 0.52
- ρ (g/cm³) = 6.4
- crystal system = tetragonal

Unit cell a=3.174 b=3.174 c=7.189 alpha=90.00 beta=90.00 gamma=90.00
Atoms (fractional coordinates):
Be (0.000, 0.000, 0.000)
Cd (0.000, 0.000, 0.500)
Se (0.500, 0.500, 0.191)
Se (0.500, 0.500, 0.809)



The structure with the least stability is version b.



Version a
First-principles (GGA-PBEsol) data for a relaxed Be2CdSe crystal, as listed in Alexandria via LeMat-Bulk.

Values from the calculation:
- density of states at the Fermi level (states/eV per atom) = 0.21
- ρ (g/cm³) = 5.1
- crystal system = orthorhombic

Unit cell a=3.346 b=3.360 c=6.074 alpha=90.00 beta=90.00 gamma=90.00
Atoms (fractional coordinates):
Be (0.000, 0.000, 0.000)
Be (0.000, 0.500, 0.500)
Cd (0.500, 0.000, 0.500)
Se (0.500, 0.500, 0.000)



Version b
First-principles (GGA-PBEsol) data for a relaxed Be2CdSe crystal, as listed in Alexandria via LeMat-Bulk.

Values from the calculation:
- density of states at the Fermi level (states/eV per atom) = 0.54
- ρ (g/cm³) = 5.4
- crystal system = cubic

Unit cell a=4.512 b=4.512 c=4.512 alpha=60.00 beta=60.00 gamma=60.00
Atoms (fractional coordinates):
Be (0.000, 0.000, 0.000)
Be (0.250, 0.250, 0.250)
Cd (0.750, 0.750, 0.750)
Se (0.500, 0.500, 0.500)



The structure with the least stability is version b.



Version a
First-principles (GGA-PBEsol) data for a relaxed BeCd2Se crystal, as listed in Alexandria via LeMat-Bulk.

Values from the calculation:
- density of states at the Fermi level (states/eV per atom) = 0.45
- ρ (g/cm³) = 6.6
- crystal system = cubic

Unit cell a=4.805 b=4.805 c=4.805 alpha=60.00 beta=60.00 gamma=60.00
Atoms (fractional coordinates):
Be (0.000, 0.000, 0.000)
Cd (0.250, 0.250, 0.250)
Cd (0.750, 0.750, 0.750)
Se (0.500, 0.500, 0.500)



Version b
First-principles (GGA-PBEsol) data for a relaxed BeCd2Se crystal, as listed in Alexandria via LeMat-Bulk.

Values from the calculation:
- density of states at the Fermi level (states/eV per atom) = 0.48
- ρ (g/cm³) = 6.7
- crystal system = tetragonal

Unit cell a=3.821 b=3.821 c=5.328 alpha=90.00 beta=90.00 gamma=90.00
Atoms (fractional coordinates):
Be (0.000, 0.000, 0.000)
Cd (0.000, 0.500, 0.500)
Cd (0.500, 0.000, 0.500)
Se (0.500, 0.500, 0.000)



The structure with the least stability is version a.



Version a
First-principles (GGA-PBEsol) data for a relaxed BeCdTc2 crystal, as listed in Alexandria via LeMat-Bulk.

Values from the calculation:
- density of states at the Fermi level (states/eV per atom) = 1.04
- ρ (g/cm³) = 9.4
- crystal system = tetragonal

Unit cell a=3.634 b=3.634 c=4.264 alpha=90.00 beta=90.00 gamma=90.00
Atoms (fractional coordinates):
Be (0.000, 0.000, 0.000)
Cd (0.500, 0.500, 0.000)
Tc (0.000, 0.500, 0.500)
Tc (0.500, 0.000, 0.500)



Version b
First-principles (GGA-PBEsol) data for a relaxed BeCdTc2 crystal, as listed in Alexandria via LeMat-Bulk.

Values from the calculation:
- density of states at the Fermi level (states/eV per atom) = 1.07
- ρ (g/cm³) = 9.4
- crystal system = trigonal

Unit cell a=8.864 b=8.864 c=8.864 alpha=17.65 beta=17.65 gamma=17.65
Atoms (fractional coordinates):
Be (0.000, 0.000, 0.000)
Cd (0.500, 0.500, 0.500)
Tc (0.260, 0.260, 0.260)
Tc (0.740, 0.740, 0.740)



The structure with the least stability is version a.



Version a
First-principles (GGA-PBEsol) data for a relaxed BeCd3Te crystal, as listed in Alexandria via LeMat-Bulk.

Values from the calculation:
- density of states at the Fermi level (states/eV per atom) = 0.69
- ρ (g/cm³) = 4.6
- crystal system = cubic

Unit cell a=5.571 b=5.571 c=5.571 alpha=90.00 beta=90.00 gamma=90.00
Atoms (fractional coordinates):
Be (0.000, 0.000, 0.000)
Cd (0.000, 0.500, 0.500)
Cd (0.500, 0.000, 0.500)
Cd (0.500, 0.500, 0.000)
Te (0.500, 0.500, 0.500)



Version b
First-principles (GGA-PBEsol) data for a relaxed BeCd3Te crystal, as listed in Alexandria via LeMat-Bulk.

Values from the calculation:
- density of states at the Fermi level (states/eV per atom) = 0.63
- ρ (g/cm³) = 7.1
- crystal system = cubic

Unit cell a=4.806 b=4.806 c=4.806 alpha=90.00 beta=90.00 gamma=90.00
Atoms (fractional coordinates):
Be (0.000, 0.000, 0.000)
Cd (0.000, 0.000, 0.500)
Cd (0.000, 0.500, 0.000)
Cd (0.500, 0.000, 0.000)
Te (0.500, 0.500, 0.500)



The structure with the least stability is version a.



Version a
First-principles (GGA-PBEsol) data for a relaxed BeTl2Cd crystal, as listed in Alexandria via LeMat-Bulk.

Values from the calculation:
- density of states at the Fermi level (states/eV per atom) = 0.40
- ρ (g/cm³) = 10.2
- crystal system = orthorhombic

Unit cell a=3.296 b=3.296 c=8.135 alpha=90.00 beta=90.00 gamma=102.58
Atoms (fractional coordinates):
Be (0.000, 0.000, 0.000)
Tl (0.500, 0.500, 0.212)
Tl (0.500, 0.500, 0.788)
Cd (0.000, 0.000, 0.500)



Version b
First-principles (GGA-PBEsol) data for a relaxed BeTl2Cd crystal, as listed in Alexandria via LeMat-Bulk.

Values from the calculation:
- density of states at the Fermi level (states/eV per atom) = 0.32
- ρ (g/cm³) = 10.3
- crystal system = monoclinic

Unit cell a=4.273 b=3.175 c=6.677 alpha=90.00 beta=108.61 gamma=90.00
Atoms (fractional coordinates):
Be (0.000, 0.000, 0.000)
Tl (0.477, 0.500, 0.955)
Tl (0.790, 0.000, 0.583)
Cd (0.165, 0.500, 0.331)



The structure with the least stability is version a.



Version a
First-principles (GGA-PBEsol) data for a relaxed YBeCd crystal, as listed in Alexandria via LeMat-Bulk.

Values from the calculation:
- density of states at the Fermi level (states/eV per atom) = 0.65
- ρ (g/cm³) = 5.9
- crystal system = hexagonal

Unit cell a=4.406 b=4.406 c=3.536 alpha=90.00 beta=90.00 gamma=120.00
Atoms (fractional coordinates):
Y (0.000, 0.000, 0.000)
Be (0.333, 0.667, 0.500)
Cd (0.667, 0.333, 0.500)



Version b
First-principles (GGA-PBEsol) data for a relaxed YBeCd crystal, as listed in Alexandria via LeMat-Bulk.

Values from the calculation:
- density of states at the Fermi level (states/eV per atom) = 1.45
- ρ (g/cm³) = 5.6
- crystal system = cubic

Unit cell a=4.451 b=4.451 c=4.451 alpha=60.00 beta=60.00 gamma=60.00
Atoms (fractional coordinates):
Y (0.000, 0.000, 0.000)
Be (0.250, 0.250, 0.250)
Cd (0.500, 0.500, 0.500)



Version c
First-principles (GGA-PBEsol) data for a relaxed YBeCd crystal, as listed in Alexandria via LeMat-Bulk.

Values from the calculation:
- density of states at the Fermi level (states/eV per atom) = 0.64
- ρ (g/cm³) = 5.8
- crystal system = orthorhombic

Unit cell a=5.054 b=5.054 c=5.054 alpha=143.49 beta=127.69 gamma=65.47
Atoms (fractional coordinates):
Y (0.000, 0.000, 0.000)
Be (0.655, 0.655, 0.000)
Cd (0.337, 0.337, 0.000)



The structure with the least stability is version c.



Version a
First-principles (GGA-PBEsol) data for a relaxed Be2ZnCd crystal, as listed in Alexandria via LeMat-Bulk.

Values from the calculation:
- density of states at the Fermi level (states/eV per atom) = 0.18
- ρ (g/cm³) = 6.0
- crystal system = orthorhombic

Unit cell a=2.668 b=4.111 c=4.956 alpha=90.00 beta=90.00 gamma=90.00
Atoms (fractional coordinates):
Be (0.000, 0.000, 0.000)
Be (0.500, 0.000, 0.500)
Zn (0.000, 0.500, 0.500)
Cd (0.500, 0.500, 0.000)



Version b
First-principles (GGA-PBEsol) data for a relaxed Be2ZnCd crystal, as listed in Alexandria via LeMat-Bulk.

Values from the calculation:
- density of states at the Fermi level (states/eV per atom) = 0.20
- ρ (g/cm³) = 6.0
- crystal system = orthorhombic

Unit cell a=2.813 b=2.813 c=8.216 alpha=90.00 beta=90.00 gamma=123.18
Atoms (fractional coordinates):
Be (0.000, 0.000, 0.233)
Be (0.000, 0.000, 0.767)
Zn (0.500, 0.500, 0.000)
Cd (0.500, 0.500, 0.500)



The structure with the least stability is version a.



Version a
First-principles (GGA-PBEsol) data for a relaxed Zr2BeCd crystal, as listed in Alexandria via LeMat-Bulk.

Values from the calculation:
- density of states at the Fermi level (states/eV per atom) = 0.86
- ρ (g/cm³) = 6.6
- crystal system = cubic

Unit cell a=4.765 b=4.765 c=4.765 alpha=60.00 beta=60.00 gamma=60.00
Atoms (fractional coordinates):
Zr (0.000, 0.000, 0.000)
Zr (0.250, 0.250, 0.250)
Be (0.750, 0.750, 0.750)
Cd (0.500, 0.500, 0.500)



Version b
First-principles (GGA-PBEsol) data for a relaxed Zr2BeCd crystal, as listed in Alexandria via LeMat-Bulk.

Values from the calculation:
- density of states at the Fermi level (states/eV per atom) = 0.82
- ρ (g/cm³) = 7.1
- crystal system = tetragonal

Unit cell a=3.005 b=3.005 c=7.919 alpha=90.00 beta=90.00 gamma=90.00
Atoms (fractional coordinates):
Zr (0.000, 0.000, 0.214)
Zr (0.000, 0.000, 0.786)
Be (0.500, 0.500, 0.000)
Cd (0.500, 0.500, 0.500)



The structure with the least stability is version a.



Version a
First-principles (GGA-PBEsol) data for a relaxed Be3Cl crystal, as listed in Alexandria via LeMat-Bulk.

Values from the calculation:
- density of states at the Fermi level (states/eV per atom) = 0.34
- ρ (g/cm³) = 2.1
- crystal system = cubic

Unit cell a=3.672 b=3.672 c=3.672 alpha=90.00 beta=90.00 gamma=90.00
Atoms (fractional coordinates):
Be (0.000, 0.000, 0.500)
Be (0.000, 0.500, 0.000)
Be (0.500, 0.000, 0.000)
Cl (0.500, 0.500, 0.500)



Version b
First-principles (GGA-PBEsol) data for a relaxed Be3Cl crystal, as listed in Alexandria via LeMat-Bulk.

Values from the calculation:
- density of states at the Fermi level (states/eV per atom) = 0.52
- ρ (g/cm³) = 2.2
- crystal system = cubic

Unit cell a=4.542 b=4.542 c=4.542 alpha=90.00 beta=90.00 gamma=90.00
Atoms (fractional coordinates):
Be (0.000, 0.250, 0.500)
Be (0.000, 0.750, 0.500)
Be (0.250, 0.500, 0.000)
Be (0.500, 0.000, 0.250)
Be (0.500, 0.000, 0.750)
Be (0.750, 0.500, 0.000)
Cl (0.000, 0.000, 0.000)
Cl (0.500, 0.500, 0.500)



The structure with the least stability is version a.